VASP calculation (GGA-PBE) on crystalline CsAg3Br3 at its relaxed geometry.

```
CsAg3Br3
1.0
7.952 0.000 0.000
0.000 7.952 0.000
0.000 0.000 7.952
Cs Br Ag
2 6 6
Cartesian
3.976 3.976 3.976 Cs
0.000 0.000 0.000 Cs
0.000 1.988 3.976 Br
0.000 5.964 3.976 Br
3.976 0.000 5.964 Br
5.964 3.976 0.000 Br
3.976 0.000 1.988 Br
1.988 3.976 0.000 Br
1.988 0.000 3.976 Ag
0.000 3.976 1.988 Ag
3.976 5.964 0.000 Ag
5.964 0.000 3.976 Ag
0.000 3.976 5.964 Ag
3.976 1.988 0.000 Ag
```

Calculated values
- Formation energy from raw total energies: -419 meV per atom

VASP calculation (GGA-PBE) on crystalline CsAg3Br at its relaxed geometry.

```
CsAg3Br
1.0
-3.606 -3.556 2.479
2.769 0.591 4.876
-3.334 4.336 1.368
Cs Br Ag
1 1 3
Cartesian
-2.085 0.686 4.362 Cs
0.000 0.000 0.000 Br
1.385 0.296 2.438 Ag
-1.667 2.168 0.684 Ag
-1.803 -1.778 1.240 Ag
```

Calculated values
- Excess energy over the best structure of this formula in the dataset: 0.0 meV/atom
- Formation energy from raw total energies: 408 meV per atom